Entry 1:
Entry from Alexandria: an optimized crystal structure of TaNb6Rh (PBE-GGA).

Results
Offset from the most stable computed form: 0.065 eV/atom
D(E_F): 9.69 states/eV/cell
Electronic total energy: -80.59 eV for the cell shown

Lattice parameters (Å, degrees): 5.2441 5.2441 5.2441 89.97 89.97 89.97
Last column: nearest neighbours and their distance in Å.
Fractional coordinates of all 8 atoms:
Ta  0.0000  0.0000  0.0000  12 Nb 2.93-2.94
Nb  0.0002  0.5003  0.2520  2 Nb 2.60-2.64
Nb  0.9998  0.4997  0.7480  2 Nb 2.60-2.64
Nb  0.2520  0.0002  0.5003  2 Nb 2.60-2.64
Nb  0.5003  0.2520  0.0002  2 Nb 2.60-2.64
Nb  0.4997  0.7480  0.9998  2 Nb 2.60-2.64
Nb  0.7480  0.9998  0.4997  2 Nb 2.60-2.64
Rh  0.5000  0.5000  0.5000  12 Nb 2.93

---

Entry 2:
Entry from Alexandria: an optimized crystal structure of TaNbRh3 (PBE-GGA).

Results
Offset from the most stable computed form: 1.249 eV/atom
D(E_F): 11.16 states/eV/cell
Electronic total energy: -38.93 eV for the cell shown

Lattice parameters (Å, degrees): 4.6599 4.6599 4.6599 90.00 90.00 90.00
Last column: nearest neighbours and their distance in Å.
Fractional coordinates of all 5 atoms:
Ta  0.0000  0.0000  0.0000  6 Rh 2.33
Nb  0.5000  0.5000  0.5000  12 Rh 3.30
Rh  0.0000  0.0000  0.5000  2 Ta 2.33
Rh  0.0000  0.5000  0.0000  2 Ta 2.33
Rh  0.5000  0.0000  0.0000  2 Ta 2.33

---

Entry 3:
Entry from Alexandria: an optimized crystal structure of TaNbTe2Rh (PBE-GGA).

Results
D(E_F): 8.01 states/eV/cell
Electronic total energy: -30.11 eV for the cell shown
Formation energy from raw total energies: 1090 meV per atom

Lattice parameters (Å, degrees): 5.1054 5.1054 4.7531 90.00 90.00 90.00
Last column: nearest neighbours and their distance in Å.
Fractional coordinates of all 5 atoms:
Ta  0.0000  0.0000  0.0000  2 Rh 2.38
Nb  0.5000  0.5000  0.0000  8 Te 3.49, 4 Ta 3.61
Te  0.0000  0.5000  0.5000  2 Rh 2.55
Te  0.5000  0.0000  0.5000  2 Rh 2.55
Rh  0.0000  0.0000  0.5000  2 Ta 2.38, 4 Te 2.55

---

Entry 4:
Entry from Alexandria: an optimized crystal structure of TaTi2NbRh (PBE-GGA).

Results
D(E_F): 6.77 states/eV/cell
Electronic total energy: -41.30 eV for the cell shown

Lattice parameters (Å, degrees): 4.5467 4.5467 4.9576 90.00 90.00 90.00
Last column: nearest neighbours and their distance in Å.
Fractional coordinates of all 5 atoms:
Ta  0.0000  0.0000  0.0000  4 Nb 3.22, 8 Ti 3.36
Ti  0.0000  0.5000  0.5000  2 Rh 2.27
Ti  0.5000  0.0000  0.5000  2 Rh 2.27
Nb  0.5000  0.5000  0.0000  2 Rh 2.48
Rh  0.5000  0.5000  0.5000  4 Ti 2.27, 2 Nb 2.48

---

Entry 5:
Entry from Alexandria: an optimized crystal structure of TaNbVRh (PBE-GGA).

Results
Offset from the most stable computed form: 0.063 eV/atom
D(E_F): 3.54 states/eV/cell
Electronic total energy: -39.21 eV for the cell shown

Lattice parameters (Å, degrees): 4.4860 4.4860 4.4860 60.00 60.00 60.00
Last column: nearest neighbours and their distance in Å.
Fractional coordinates of all 4 atoms:
Ta  0.0000  0.0000  0.0000  4 V 2.75, 4 Rh 2.75
Nb  0.5000  0.5000  0.5000  4 Rh 2.75, 4 V 2.75
V  0.7500  0.7500  0.7500  4 Nb 2.75, 4 Ta 2.75
Rh  0.2500  0.2500  0.2500  4 Nb 2.75, 4 Ta 2.75

---

Entry 6:
Entry from Alexandria: an optimized crystal structure of TaNbVRh (PBE-GGA).

Results
Offset from the most stable computed form: 0.000 eV/atom
D(E_F): 3.78 states/eV/cell
Electronic total energy: -39.47 eV for the cell shown

Lattice parameters (Å, degrees): 3.1752 3.1752 6.3463 90.00 90.00 90.00
Last column: nearest neighbours and their distance in Å.
Fractional coordinates of all 4 atoms:
Ta  0.0000  0.0000  0.0000  4 V 2.72, 4 Rh 2.76
Nb  0.0000  0.0000  0.4807  4 V 2.71, 4 Rh 2.81
V  0.5000  0.5000  0.2419  4 Nb 2.71, 4 Ta 2.72
Rh  0.5000  0.5000  0.7466  4 Ta 2.76, 4 Nb 2.81

---

Entry 7:
Entry from Alexandria: an optimized crystal structure of TaNbRhW (PBE-GGA).

Results
D(E_F): 3.78 states/eV/cell
Electronic total energy: -43.01 eV for the cell shown

Lattice parameters (Å, degrees): 4.5519 4.5519 4.5519 60.00 60.00 60.00
Last column: nearest neighbours and their distance in Å.
Fractional coordinates of all 4 atoms:
Ta  0.0000  0.0000  0.0000  4 W 2.79, 4 Rh 2.79
Nb  0.5000  0.5000  0.5000  4 Rh 2.79, 4 W 2.79
Rh  0.7500  0.7500  0.7500  4 Nb 2.79, 4 Ta 2.79
W  0.2500  0.2500  0.2500  4 Nb 2.79, 4 Ta 2.79

---

Entry 8:
Entry from Alexandria: an optimized crystal structure of TaNb2Zn2Rh5 (PBE-GGA).

Results
D(E_F): 15.44 states/eV/cell
Electronic total energy: -147.82 eV for the cell shown

Lattice parameters (Å, degrees): 9.1281 9.1281 3.7346 90.00 90.00 90.00
Last column: nearest neighbours and their distance in Å.
Fractional coordinates of all 20 atoms:
Ta  0.0000  0.0000  0.0000  8 Rh 2.70
Ta  0.5000  0.5000  0.0000  8 Rh 2.70
Nb  0.1740  0.3260  0.0000  3 Zn 2.62-2.75, 6 Rh 2.92
Nb  0.3260  0.8260  0.0000  3 Zn 2.62-2.75, 6 Rh 2.92
Nb  0.6740  0.1740  0.0000  3 Zn 2.62-2.75, 6 Rh 2.92
Nb  0.8260  0.6740  0.0000  3 Zn 2.62-2.75, 6 Rh 2.92
Zn  0.1228  0.6228  0.0000  6 Rh 2.45-2.51, 1 Nb 2.62
Zn  0.3772  0.1228  0.0000  6 Rh 2.45-2.51, 1 Nb 2.62
Zn  0.6228  0.8772  0.0000  6 Rh 2.45-2.51, 1 Nb 2.62
Zn  0.8772  0.3772  0.0000  6 Rh 2.45-2.51, 1 Nb 2.62
Rh  0.0000  0.5000  0.5000  4 Zn 2.45
Rh  0.0817  0.8024  0.5000  2 Zn 2.51, 2 Ta 2.70, 2 Rh 2.76
Rh  0.1976  0.0817  0.5000  2 Zn 2.51, 2 Ta 2.70, 2 Rh 2.76
Rh  0.3024  0.5817  0.5000  2 Zn 2.51, 2 Ta 2.70, 2 Rh 2.76
Rh  0.4183  0.3024  0.5000  2 Zn 2.51, 2 Ta 2.70, 2 Rh 2.76
Rh  0.5000  0.0000  0.5000  4 Zn 2.45
Rh  0.5817  0.6976  0.5000  2 Zn 2.51, 2 Ta 2.70, 2 Rh 2.76
Rh  0.6976  0.4183  0.5000  2 Zn 2.51, 2 Ta 2.70, 2 Rh 2.76
Rh  0.8024  0.9183  0.5000  2 Zn 2.51, 2 Ta 2.70, 2 Rh 2.76
Rh  0.9183  0.1976  0.5000  2 Zn 2.51, 2 Ta 2.70, 2 Rh 2.76

---

Entry 9:
Entry from Alexandria: an optimized crystal structure of TbNbRh2 (PBE-GGA).

Results
D(E_F): 3.34 states/eV/cell
Electronic total energy: -31.18 eV for the cell shown

Lattice parameters (Å, degrees): 5.2459 5.2459 5.2459 49.92 49.92 49.92
Last column: nearest neighbours and their distance in Å.
Fractional coordinates of all 4 atoms:
Tb  0.0000  0.0000  0.0000  8 Rh 2.99-3.04
Nb  0.5000  0.5000  0.5000  6 Rh 2.66
Rh  0.2209  0.2209  0.2209  3 Nb 2.66, 3 Rh 2.96
Rh  0.7791  0.7791  0.7791  3 Nb 2.66, 3 Rh 2.96

---

Entry 10:
Entry from Alexandria: an optimized crystal structure of TbNbRh2 (PBE-GGA).

Results
D(E_F): 4.56 states/eV/cell
Electronic total energy: -31.21 eV for the cell shown

Lattice parameters (Å, degrees): 4.8472 4.8472 3.0758 90.00 90.00 90.00
Last column: nearest neighbours and their distance in Å.
Fractional coordinates of all 4 atoms:
Tb  0.0000  0.0000  0.0000  8 Rh 2.87, 2 Tb 3.08
Nb  0.5000  0.5000  0.0000  8 Rh 2.87, 2 Nb 3.08
Rh  0.0000  0.5000  0.5000  4 Nb 2.87, 4 Tb 2.87, 2 Rh 3.08
Rh  0.5000  0.0000  0.5000  4 Nb 2.87, 4 Tb 2.87, 2 Rh 3.08

---

Entry 11:
Entry from Alexandria: an optimized crystal structure of TbNbRh2 (PBE-GGA).

Results
D(E_F): 4.36 states/eV/cell
Electronic total energy: -31.49 eV for the cell shown

Lattice parameters (Å, degrees): 3.2088 3.2088 7.1757 90.00 90.00 90.00
Last column: nearest neighbours and their distance in Å.
Fractional coordinates of all 4 atoms:
Tb  0.0000  0.0000  0.0000  8 Rh 3.08, 4 Tb 3.21
Nb  0.0000  0.0000  0.5000  8 Rh 2.73
Rh  0.5000  0.5000  0.2893  4 Nb 2.73, 1 Rh 3.02
Rh  0.5000  0.5000  0.7107  4 Nb 2.73, 1 Rh 3.02

---

Entry 12:
Entry from Alexandria: an optimized crystal structure of Tb2NbZn2Rh5 (PBE-GGA).

Results
D(E_F): 10.08 states/eV/cell
Electronic total energy: -129.58 eV for the cell shown

Lattice parameters (Å, degrees): 9.8245 9.8245 3.5539 90.00 90.00 90.00
Last column: nearest neighbours and their distance in Å.
Fractional coordinates of all 20 atoms:
Tb  0.1714  0.3286  0.0000  3 Zn 2.82-2.95, 6 Rh 2.97-3.14
Tb  0.3286  0.8286  0.0000  3 Zn 2.82-2.95, 6 Rh 2.97-3.14
Tb  0.6714  0.1714  0.0000  3 Zn 2.82-2.95, 6 Rh 2.97-3.14
Tb  0.8286  0.6714  0.0000  3 Zn 2.82-2.95, 6 Rh 2.97-3.14
Nb  0.0000  0.0000  0.0000  8 Rh 2.72
Nb  0.5000  0.5000  0.0000  8 Rh 2.72
Zn  0.1257  0.6257  0.0000  6 Rh 2.49-2.54
Zn  0.3743  0.1257  0.0000  6 Rh 2.49-2.54
Zn  0.6257  0.8743  0.0000  6 Rh 2.49-2.54
Zn  0.8743  0.3743  0.0000  6 Rh 2.49-2.54
Rh  0.0000  0.5000  0.5000  4 Zn 2.49
Rh  0.0663  0.8010  0.5000  2 Zn 2.54, 2 Nb 2.72
Rh  0.1990  0.0663  0.5000  2 Zn 2.54, 2 Nb 2.72
Rh  0.3010  0.5663  0.5000  2 Zn 2.54, 2 Nb 2.72
Rh  0.4337  0.3010  0.5000  2 Zn 2.54, 2 Nb 2.72
Rh  0.5000  0.0000  0.5000  4 Zn 2.49
Rh  0.5663  0.6990  0.5000  2 Zn 2.54, 2 Nb 2.72
Rh  0.6990  0.4337  0.5000  2 Zn 2.54, 2 Nb 2.72
Rh  0.8010  0.9337  0.5000  2 Zn 2.54, 2 Nb 2.72
Rh  0.9337  0.1990  0.5000  2 Zn 2.54, 2 Nb 2.72